Record 1
DFT (PBE) results for a relaxed Re2AuClF crystal.

Structure (POSCAR):
```
Re2AuClF
1.0
4.026 0.000 0.000
0.000 4.026 0.000
0.000 0.000 5.895
Re Au Cl F
2 1 1 1
Direct
0.000 0.500 0.000
0.500 0.000 0.000
0.000 0.000 0.500
0.500 0.500 0.500
0.000 0.000 0.000
```

Properties
**Space group**: No. 123
**Raw formation energy**: 7.96 eV per formula unit


Record 2
DFT (PBE) results for a relaxed Tb2PrS crystal.

Structure (POSCAR):
```
Tb2PrS
1.0
1.847 1.066 10.249
-1.847 1.066 10.249
0.000 -2.133 10.249
Tb Pr S
2 1 1
Direct
0.113 0.113 0.113
0.887 0.887 0.887
0.000 0.000 0.000
0.500 0.500 0.500
```

Properties
**Polymorph energy (0 for the lowest one)**: 174 meV per atom
**Space group**: No. 166
**Raw formation energy**: -3.09 eV per formula unit


Record 3
DFT (PBE) results for a relaxed SbPdPb4 crystal.

Structure (POSCAR):
```
SbPdPb4
1.0
-3.716 3.716 6.171
3.716 -3.716 6.171
3.716 3.716 -6.171
Sb Pd Pb
2 2 8
Direct
0.000 0.000 0.000
0.500 0.500 0.000
0.250 0.250 0.000
0.750 0.750 0.000
0.018 0.518 0.817
0.201 0.018 0.500
0.299 0.799 0.817
0.482 0.299 0.500
0.518 0.701 0.500
0.701 0.201 0.183
0.799 0.982 0.500
0.982 0.482 0.183
```

Properties
**Space group**: No. 140
**Raw formation energy**: -0.31 eV per formula unit


Record 4
DFT (PBE) results for a relaxed CsSnSb3 crystal.

Structure (POSCAR):
```
CsSnSb3
1.0
5.854 0.000 0.000
0.000 5.854 0.000
0.000 0.000 5.854
Cs Sn Sb
1 1 3
Direct
0.000 0.000 0.000
0.500 0.500 0.500
0.000 0.500 0.500
0.500 0.000 0.500
0.500 0.500 0.000
```

Properties
**Polymorph energy (0 for the lowest one)**: 435 meV per atom
**Space group**: No. 221
**Raw formation energy**: 1.48 eV per formula unit


Record 5
DFT (PBE) results for a relaxed PmMnAu crystal.

Structure (POSCAR):
```
PmMnAu
1.0
4.633 0.000 0.000
0.000 3.694 0.000
-0.879 0.000 7.485
Pm Mn Au
2 2 2
Direct
0.235 0.250 0.334
0.765 0.750 0.666
0.129 0.750 0.012
0.871 0.250 0.988
0.305 0.250 0.776
0.695 0.750 0.224
```

Properties
**Energy relative to the elements**: -95 meV per atom
**Space group**: No. 11


Record 6
DFT (PBE) results for a relaxed Mg3TeMo crystal.

Structure (POSCAR):
```
Mg3TeMo
1.0
5.293 0.000 0.000
0.000 5.293 0.000
0.000 0.000 5.293
Mg Te Mo
3 1 1
Direct
0.000 0.000 0.500
0.000 0.500 0.000
0.500 0.000 0.000
0.500 0.500 0.500
0.000 0.000 0.000
```

Properties
**Polymorph energy (0 for the lowest one)**: 0 meV per atom
**Space group**: No. 221
**Raw formation energy**: 4.63 eV per formula unit


Record 7
DFT (PBE) results for a relaxed AlCd3F crystal.

Structure (POSCAR):
```
AlCd3F
1.0
4.798 0.000 0.000
0.000 4.798 0.000
0.000 0.000 4.798
Al Cd F
1 3 1
Direct
0.000 0.000 0.000
0.000 0.500 0.500
0.500 0.000 0.500
0.500 0.500 0.000
0.500 0.500 0.500
```

Properties
**Polymorph energy (0 for the lowest one)**: 0 meV per atom
**Space group**: No. 221
**Raw formation energy**: -0.94 eV per formula unit


Record 8
DFT (PBE) results for a relaxed DyCd2Cu crystal.

Structure (POSCAR):
```
DyCd2Cu
1.0
0.000 3.469 3.469
3.469 0.000 3.469
3.469 3.469 0.000
Dy Cd Cu
1 2 1
Direct
0.000 0.000 0.000
0.250 0.250 0.250
0.750 0.750 0.750
0.500 0.500 0.500
```

Properties
**Energy relative to the elements**: -117 meV per atom
**Space group**: No. 225


Record 9
DFT (PBE) results for a relaxed Co2TeCl crystal.

Structure (POSCAR):
```
Co2TeCl
1.0
1.637 -3.063 0.000
1.637 3.063 0.000
0.000 0.000 7.488
Co Te Cl
2 1 1
Direct
0.000 0.000 0.244
0.000 0.000 0.756
0.500 0.500 0.500
0.500 0.500 0.000
```

Properties
**Polymorph energy (0 for the lowest one)**: 548 meV per atom
**Space group**: No. 65
**Raw formation energy**: 1.91 eV per formula unit


Record 10
DFT (PBE) results for a relaxed SmDyErTl crystal.

Structure (POSCAR):
```
SmDyErTl
1.0
4.836 0.000 0.000
0.000 4.875 0.000
0.000 0.000 4.896
Sm Dy Er Tl
1 1 1 1
Direct
0.000 0.000 0.000
0.500 0.500 0.000
0.500 0.000 0.500
0.000 0.500 0.500
```

Properties
**Polymorph energy (0 for the lowest one)**: 0 meV per atom
**Energy relative to the elements**: -180 meV per atom
**Space group**: No. 47


Record 11
DFT (PBE) results for a relaxed Ac2PmMg16 crystal.

Structure (POSCAR):
```
Ac2PmMg16
1.0
5.294 3.057 5.165
-5.294 3.057 5.165
0.000 -6.113 5.165
Ac Pm Mg
2 1 16
Direct
0.000 0.000 0.000
0.323 0.323 0.323
0.758 0.758 0.758
0.016 0.016 0.511
0.016 0.511 0.016
0.172 0.662 0.662
0.314 0.314 0.826
0.314 0.826 0.314
0.367 0.664 0.964
0.367 0.964 0.664
0.511 0.016 0.016
0.552 0.552 0.552
0.662 0.172 0.662
0.662 0.662 0.172
0.664 0.367 0.964
0.664 0.964 0.367
0.826 0.314 0.314
0.964 0.367 0.664
0.964 0.664 0.367
```

Properties
**Energy relative to the elements**: -62 meV per atom
**Space group**: No. 160


Record 12
DFT (PBE) results for a relaxed K2PaRuO6 crystal.

Structure (POSCAR):
```
K2PaRuO6
1.0
4.208 0.000 0.000
0.000 4.208 0.000
0.000 0.000 8.363
K Pa Ru O
2 1 1 6
Direct
0.000 0.000 0.218
0.000 0.000 0.782
0.500 0.500 0.500
0.500 0.500 0.000
0.000 0.500 0.000
0.000 0.500 0.500
0.500 0.000 0.000
0.500 0.000 0.500
0.500 0.500 0.233
0.500 0.500 0.767
```

Properties
**Space group**: No. 123
**Raw formation energy**: -20.56 eV per formula unit


Record 13
DFT (PBE) results for a relaxed Mg2PW crystal.

Structure (POSCAR):
```
Mg2PW
1.0
0.000 3.183 3.183
3.183 0.000 3.183
3.183 3.183 0.000
Mg P W
2 1 1
Direct
0.000 0.000 0.000
0.250 0.250 0.250
0.750 0.750 0.750
0.500 0.500 0.500
```

Properties
**Energy relative to the elements**: 533 meV per atom
**Space group**: No. 216


Record 14
DFT (PBE) results for a relaxed PrTlSe2 crystal.

Structure (POSCAR):
```
PrTlSe2
1.0
3.773 0.000 0.000
0.000 3.773 0.000
0.000 0.000 7.834
Pr Tl Se
1 1 2
Direct
0.000 0.000 0.000
0.000 0.000 0.500
0.500 0.500 0.215
0.500 0.500 0.785
```

Properties
**Space group**: No. 123
**Raw formation energy**: -4.74 eV per formula unit